{"formula": "TlVSnF6", "functional": "GGA+U", "state": "relaxed", "spacegroup": "P1", "crystal_system": "triclinic", "dft_energy_ev_per_atom": -5.225, "dos_ef_per_ev_fu": 0.000, "lattice": [[5.301, 0.000, 0.000], [-0.008, 5.900, 0.000], [-0.038, -2.793, 5.199]], "species": ["Tl", "V", "Sn", "F", "F", "F", "F", "F", "F"], "frac_coords": [[0.000, 0.000, 0.000], [0.565, 0.665, 0.336], [0.490, 0.327, 0.656], [0.350, 0.749, 0.124], [0.372, 0.874, 0.642], [0.377, 0.342, 0.269], [0.758, 0.008, 0.446], [0.763, 0.463, 0.019], [0.773, 0.554, 0.554]]}